Computed, not measured: an optimized crystal structure of TaMn2ZnO6 at the GGA+U level of DFT.

## Properties
For the energy, the calculation gives -7.64 eV/atom.

Lattice parameters (Å, degrees): 5.2766 5.2844 5.5776 90.17 118.01 119.94
Last column: nearest neighbours and their distance in Å.
Fractional positions:
Ta: 0.0000 0.0000 0.0000  6 O 1.92-2.13
Mn: 0.5664 0.2830 0.8488  6 O 2.11-2.34
Mn: 0.5957 0.7973 0.3932  6 O 1.98-2.05
Zn: 0.0175 0.5063 0.5245  3 O 2.00
O: 0.0594 0.1766 0.6735  2 Mn 1.99-2.11, 1 Zn 2.00, 1 Ta 2.13
O: 0.1163 0.3874 0.1765  1 Ta 1.92, 1 Mn 2.05
O: 0.4470 0.0593 0.1771  1 Ta 1.93, 1 Mn 2.05
O: 0.4957 0.8800 0.6741  2 Mn 1.98-2.12, 1 Zn 2.00, 1 Ta 2.13
O: 0.7870 0.7260 0.1750  1 Ta 1.93, 1 Mn 2.04
O: 0.7932 0.6135 0.6741  2 Mn 1.99-2.11, 1 Zn 2.00, 1 Ta 2.13